! BaCd2AgGe, relaxed, DFT PBE; values from VASP
! Total energy ... -25.42 eV per cell
! Symmetry ... Imm2, No. 44
! ΔE_f ... -0.30 eV per atom
! DOS(E_F) ... 2.0 states/eV/f.u.
&SYSTEM
  ibrav = 0, nat = 10, ntyp = 4
/
ATOMIC_SPECIES
Ba 137.33 Ba.upf
Cd 112.41 Cd.upf
Ag 107.87 Ag.upf
Ge 72.64 Ge.upf
CELL_PARAMETERS angstrom
4.711 0.000 0.000
0.000 4.795 0.000
0.000 0.000 11.650
ATOMIC_POSITIONS crystal
Ba 0.000 0.000 0.000
Ba 0.500 0.500 0.500
Cd 0.000 0.000 0.379
Cd 0.000 0.500 0.240
Cd 0.500 0.000 0.740
Cd 0.500 0.500 0.879
Ag 0.000 0.500 0.729
Ag 0.500 0.000 0.229
Ge 0.000 0.000 0.615
Ge 0.500 0.500 0.115

=====

! Tm3ZnCd, relaxed, DFT PBE; values from VASP
! Total energy ... -33.52 eV per cell
! Symmetry ... Cmcm, No. 63
! ΔE_f ... -0.23 eV per atom
! DOS(E_F) ... 6.2 states/eV/f.u.
&SYSTEM
  ibrav = 0, nat = 10, ntyp = 3
/
ATOMIC_SPECIES
Tm 168.93 Tm.upf
Zn 65.41 Zn.upf
Cd 112.41 Cd.upf
CELL_PARAMETERS angstrom
2.522 -9.897 0.000
2.522 9.897 0.000
0.000 0.000 5.044
ATOMIC_POSITIONS crystal
Tm 0.063 0.937 0.750
Tm 0.250 0.750 0.750
Tm 0.437 0.563 0.750
Tm 0.563 0.437 0.250
Tm 0.750 0.250 0.250
Tm 0.937 0.063 0.250
Zn 0.158 0.842 0.250
Zn 0.842 0.158 0.750
Cd 0.342 0.658 0.250
Cd 0.658 0.342 0.750

=====

! HoBeCu6Si, relaxed, DFT PBE; values from VASP
! Total energy ... -78.28 eV per cell
! Symmetry ... Imma, No. 74
! DOS(E_F) ... 2.8 states/eV/f.u.
&SYSTEM
  ibrav = 0, nat = 18, ntyp = 4
/
ATOMIC_SPECIES
Ho 164.93 Ho.upf
Be 9.01 Be.upf
Cu 63.55 Cu.upf
Si 28.09 Si.upf
CELL_PARAMETERS angstrom
-2.488 3.942 6.533
2.488 -3.942 6.533
2.488 3.942 -6.533
ATOMIC_POSITIONS crystal
Ho 0.256 0.006 0.250
Ho 0.744 0.994 0.750
Be 0.000 0.000 0.500
Be 0.000 0.500 0.000
Cu 0.145 0.395 0.750
Cu 0.164 0.402 0.253
Cu 0.164 0.911 0.762
Cu 0.351 0.089 0.753
Cu 0.351 0.598 0.262
Cu 0.496 0.246 0.250
Cu 0.504 0.754 0.750
Cu 0.649 0.402 0.738
Cu 0.649 0.911 0.247
Cu 0.836 0.089 0.238
Cu 0.836 0.598 0.747
Cu 0.855 0.605 0.250
Si 0.000 0.500 0.500
Si 0.500 0.500 0.000

=====

! KMg6Ti, relaxed, DFT PBE; values from VASP
! Total energy ... -16.58 eV per cell
! Energy above the most stable polymorph in this dataset ... 14 meV per atom
! Symmetry ... P-6m2, No. 187
! ΔE_f ... 0.25 eV per atom
! DOS(E_F) ... 4.5 states/eV/f.u.
&SYSTEM
  ibrav = 0, nat = 8, ntyp = 3
/
ATOMIC_SPECIES
K 39.10 K.upf
Mg 24.30 Mg.upf
Ti 47.87 Ti.upf
CELL_PARAMETERS angstrom
6.584 0.000 0.000
-3.292 5.702 0.000
0.000 0.000 5.256
ATOMIC_POSITIONS crystal
K 0.000 0.000 0.000
Mg 0.176 0.352 0.500
Mg 0.176 0.824 0.500
Mg 0.509 0.018 0.000
Mg 0.509 0.491 0.000
Mg 0.648 0.824 0.500
Mg 0.982 0.491 0.000
Ti 0.667 0.333 0.500